[1]
Crystalline SrCrSeN2 at its relaxed geometry. Source: Alexandria, functional PBE.

a = 3.9288 Å, b = 3.9288 Å, c = 5.0796 Å
α = 90.00°, β = 90.00°, γ = 90.00°
With the nearest neighbours (Å) after each atom.
Sites, in units of the cell vectors:
Sr (0.0000, 0.0000, 0.0000)  4 Se 2.78
Cr (0.5000, 0.5000, 0.5000)  4 N 1.96
Se (0.5000, 0.5000, 0.0000)  2 Cr 2.54, 4 Sr 2.78
N (0.0000, 0.5000, 0.5000)  2 Cr 1.96
N (0.5000, 0.0000, 0.5000)  2 Cr 1.96

Results
distance to the lowest polymorph of the same formula: 0.00 eV per formula unit
DFT total energy: -6.425 eV/atom
energy relative to the elements, uncorrected: -0.14 eV per atom

[2]
Crystalline Lu3Rh at its relaxed geometry. Source: Alexandria, functional PBE.

a = 3.3279 Å, b = 3.5914 Å, c = 8.8021 Å
α = 90.00°, β = 90.00°, γ = 90.00°
With the nearest neighbours (Å) after each atom.
Sites, in units of the cell vectors:
Lu (0.0000, 0.0000, 0.0000)  10 Lu 3.33-3.59
Lu (0.0000, 0.5000, 0.3403)  4 Rh 2.77
Lu (0.5000, 0.5000, 0.7210)  2 Rh 2.72
Rh (0.5000, 0.0000, 0.4884)  6 Lu 2.72-2.77

Results
calculated formation energy: -0.26 eV/atom
DFT total energy: -5.486 eV/atom

[3]
Crystalline LiPmGaAu at its relaxed geometry. Source: Alexandria, functional PBE.

a = 4.9248 Å, b = 4.9248 Å, c = 4.9248 Å
α = 60.00°, β = 60.00°, γ = 60.00°
With the nearest neighbours (Å) after each atom.
Sites, in units of the cell vectors:
Li (0.0000, 0.0000, 0.0000)  4 Au 3.02, 4 Ga 3.02
Pm (0.5000, 0.5000, 0.5000)  4 Au 3.02, 4 Ga 3.02
Ga (0.7500, 0.7500, 0.7500)  4 Pm 3.02, 4 Li 3.02
Au (0.2500, 0.2500, 0.2500)  4 Pm 3.02, 4 Li 3.02

Results
distance to the lowest polymorph of the same formula: 0.00 eV per formula unit
calculated formation energy: -0.56 eV/atom
DFT total energy: -3.799 eV/atom

[4]
Crystalline DyBiAu2 at its relaxed geometry. Source: Alexandria, functional PBE.

a = 4.5607 Å, b = 4.5607 Å, c = 4.4352 Å
α = 90.00°, β = 90.00°, γ = 90.00°
With the nearest neighbours (Å) after each atom.
Sites, in units of the cell vectors:
Dy (0.0000, 0.0000, 0.0000)  8 Au 3.18, 4 Bi 3.22
Bi (0.5000, 0.5000, 0.0000)  8 Au 3.18, 4 Dy 3.22
Au (0.0000, 0.5000, 0.5000)  4 Dy 3.18, 4 Bi 3.18, 4 Au 3.22
Au (0.5000, 0.0000, 0.5000)  4 Dy 3.18, 4 Bi 3.18, 4 Au 3.22

Results
calculated formation energy: -0.52 eV/atom
DFT total energy: -4.278 eV/atom